(1)
Computed, not measured: an optimized crystal structure of NdRePbO6 at the PBE-GGA level of DFT.

The formation energy without anion corrections comes out at -188 kJ per mole of atoms. The calculation puts the theoretical density at 7.2 g cm⁻³.

The structure belongs to space group P312 (No. 149); the cell edges are 5.7465, 5.7465 and 5.1128 Å and the angles 90.00°, 90.00° and 120.00°. The inequivalent atoms are Nd at (0.0000, 0.0000, 0.0000), Re at (0.3333, 0.6667, 0.0000), Pb at (0.6667, 0.3333, 0.5000) and O at (0.0634, 0.3896, 0.2118).

***

(2)
Computed, not measured: an optimized crystal structure of ReTcRh5 at the PBE-GGA level of DFT.

The calculation puts the theoretical density at 12.3 g cm⁻³. The calculation puts the density of states at the Fermi level at 36.7 states/eV/cell. The formation energy comes out at 0.3638 eV per atom.

The structure belongs to space group C2/c (No. 15); the cell edges are 8.666, 5.900 and 9.054 Å and the angles 90.00°, 111.14° and 90.00°. The inequivalent atoms are Re at (0.250, 0.250, 0.000), Tc at (0.000, 0.073, 0.250), Rh at (0.000, 0.349, 0.750), Rh at (0.078, 0.320, 0.476) and Rh at (0.245, 0.401, 0.268).

***

(3)
Computed, not measured: an optimized crystal structure of SrAlTl2 at the PBE-GGA level of DFT.

The calculation puts the theoretical density at 6.9 g cm⁻³. The calculation puts the density of states at the Fermi level at 8.9 states/eV/cell. The formation energy comes out at 0.1202 eV per atom.

The structure belongs to space group R3m (No. 160, hexagonal axes); the cell edges are 3.7716, 3.7716 and 30.7453 Å and the angles 90.00°, 90.00° and 120.00°. The inequivalent atoms are Sr at (0.0000, 0.0000, 0.0000), Al at (0.0000, 0.0000, 0.2507), Tl at (0.0000, 0.0000, 0.5103) and Tl at (0.0000, 0.0000, 0.7574).

***

(4)
Computed, not measured: an optimized crystal structure of ScHg2Cl at the PBE-GGA level of DFT.

The formation energy without anion corrections comes out at -37 kJ per mole of atoms. The calculation puts the theoretical density at 8.6 g cm⁻³. The calculation puts the density of states at the Fermi level at 7.3 states/eV/cell. The energy above the most stable polymorph in this dataset is 0.316 eV/atom.

The structure belongs to space group I4/mmm (No. 139); the cell edges are 4.036, 4.036 and 11.367 Å and the angles 90.00°, 90.00° and 90.00°. The inequivalent atoms are Sc at (0.000, 0.000, 0.000), Hg at (0.000, 0.500, 0.250) and Cl at (0.000, 0.000, 0.500).